DFT (GGA-PBE) results for a relaxed structure of ZrTiO.

Values from the calculation:
Density: 5.96 g cm⁻³
Magnetization: 0.00 μB/f.u.
E: -8.832 eV per atom
Crystal system: trigonal
Raw formation energy: -1698 meV per atom
Excess energy over the best structure of this formula in the dataset: 4.2 kJ/mol of atoms

a = 3.1486 Å, b = 3.1486 Å, c = 5.0343 Å
α = 90.00°, β = 90.00°, γ = 120.00°
Last column: nearest neighbours and their distance in Å.
Space group P3m1 (No. 156)
One atom of each set of equivalent atoms:
Zr1 0.0000 0.0000 0.0000 [1 per cell]  3 O 2.32
Ti1 0.3333 0.6667 0.4777 [1 per cell]  3 O 2.17
O1 0.6667 0.3333 0.7131 [1 per cell]  3 Ti 2.17, 3 Zr 2.32